(1)
! YMo3P GGA-PBE optimized geometry; values from VASP
! D(E_F) = 1.18 states/eV/atom
! Space-group type = Pm-3m
! Energy above the lowest structure with this stoichiometry = 0.000 eV per atom
! E = -8.6539 eV per atom
! Energy of formation = 0.22 eV/atom
&SYSTEM
  ibrav = 0, nat = 5, ntyp = 3
/
ATOMIC_SPECIES
Y 88.91 Y.upf
Mo 95.94 Mo.upf
P 30.97 P.upf
ATOMIC_POSITIONS angstrom
Y 2.288 2.288 2.288
Mo 0.000 2.288 0.000
Mo 2.288 0.000 0.000
Mo 0.000 0.000 2.288
P 0.000 0.000 0.000
CELL_PARAMETERS angstrom
4.575 0.000 0.000
0.000 4.575 0.000
0.000 0.000 4.575



(2)
! YZrMo2P GGA-PBE optimized geometry; values from VASP
! D(E_F) = 1.22 states/eV/atom
! Space-group type = P4/mmm
! E = -6.6579 eV per atom
! Energy of formation = 1.76 eV/atom
&SYSTEM
  ibrav = 0, nat = 5, ntyp = 4
/
ATOMIC_SPECIES
Y 88.91 Y.upf
P 30.97 P.upf
Mo 95.94 Mo.upf
Zr 91.22 Zr.upf
ATOMIC_POSITIONS angstrom
Y 0.000 0.000 0.000
P 0.000 2.487 0.000
Mo 0.000 0.000 2.407
Mo 2.407 0.000 0.000
Zr 2.407 2.487 2.407
CELL_PARAMETERS angstrom
4.813 0.000 0.000
0.000 4.975 0.000
0.000 0.000 4.813



- energy of formation of number 1 (YMo3P)?
  0.22 eV/atom